# PBE-GGA Zr2MnIrN, optimized geometry
# Raw total energy, eV/atom: -9.543
# Formation energy without anion corrections, eV/atom: -0.852
# DOS(E_F), states/eV per cell: 3.62
# Calculated density, kg/m3: 9850
data_Zr2MnIrN
_cell_length_a 4.520
_cell_length_b 4.520
_cell_length_c 3.661
_cell_angle_alpha 90.00
_cell_angle_beta 90.00
_cell_angle_gamma 90.00
_symmetry_space_group_name_H-M 'P 1'
_symmetry_Int_Tables_number 1
_symmetry_space_group_name_Hall 'P 1'
loop_
_atom_site_label
_atom_site_type_symbol
_atom_site_fract_x
_atom_site_fract_y
_atom_site_fract_z
Ir1 Ir 0.500 0.500 0.500
Mn1 Mn 0.000 0.000 0.500
N1 N 0.000 0.000 0.000
Zr1 Zr 0.500 0.000 0.000
Zr2 Zr 0.000 0.500 0.000